A geometry-optimized Ac2GdMg structure, computed with PBE.

a b c (Å): 13.056 13.056 13.056
angles (deg): 16.28 16.28 16.28
Positions (direct):
Ac (0.091, 0.091, 0.091)
Ac (0.909, 0.909, 0.909)
Gd (0.000, 0.000, 0.000)
Mg (0.500, 0.500, 0.500)

Output
* calculated formation energy: 0.263 eV per atom
* V: 38.10 Å³ per atom
* theoretical density: 6.92 g/cm³
* magnetic moment: 7.895 μB per cell